VASP calculation (SCAN) on a PBEsol-optimized structure of In2OsCl.

The structure in POSCAR format:
```
In2OsCl
1.0
2.909 0.000 0.000
0.000 4.892 0.000
0.000 0.000 5.514
In Os Cl
2 1 1
direct
0.000 0.000 0.000
0.500 0.500 0.500
0.000 0.000 0.500
0.500 0.500 0.000
```

Properties
Its total DFT energy (no corrections) is -36.4850 eV/atom. The calculation puts the density of states at the Fermi level at 1.86 states/eV per cell. The space group is Pmmm, No. 47. The calculation puts the uncorrected formation energy at 173 meV per atom. The total moment is 0.00 μB per cell.

VASP calculation (SCAN) on a PBEsol-optimized structure of FeAsPb2.

The structure in POSCAR format:
```
FeAsPb2
1.0
-1.994 2.499 4.406
1.994 -2.499 4.406
1.994 2.499 -4.406
Fe As Pb
1 1 2
direct
0.000 0.000 0.000
0.500 0.500 0.000
0.238 0.738 0.500
0.762 0.262 0.500
```

Properties
Its total DFT energy (no corrections) is -46.9004 eV/atom. The calculation puts the density of states at the Fermi level at 3.08 states/eV per cell. The value obtained for the formation energy is 2.28 eV per formula unit. The space group is Immm, No. 71. The total moment is 3.10 μB per cell.

VASP calculation (SCAN) on a PBEsol-optimized structure of LiHfAu2.

The structure in POSCAR format:
```
LiHfAu2
1.0
0.000 3.236 3.236
3.236 0.000 3.236
3.236 3.236 0.000
Li Hf Au
1 1 2
direct
0.000 0.000 0.000
0.500 0.500 0.500
0.250 0.250 0.250
0.750 0.750 0.750
```

Properties
Its total DFT energy (no corrections) is -51.5455 eV/atom. The calculation puts the density of states at the Fermi level at 1.90 states/eV per cell. The value obtained for the formation energy is -2.81 eV per formula unit. The space group is Fm-3m, No. 225. The total moment is 0.00 μB per cell.

VASP calculation (SCAN) on a PBEsol-optimized structure of ReSiW2.

The structure in POSCAR format:
```
ReSiW2
1.0
1.404 0.810 8.662
-1.404 0.810 8.662
0.000 -1.621 8.662
Re Si W
1 1 2
direct
0.000 0.000 0.000
0.744 0.744 0.744
0.250 0.250 0.250
0.493 0.493 0.493
```

Properties
Its total DFT energy (no corrections) is -54.8933 eV/atom. The calculation puts the density of states at the Fermi level at 2.33 states/eV per cell. The space group is R3m, No. 160. The calculation puts the uncorrected formation energy at 229 meV per atom. The total moment is 0.00 μB per cell.

VASP calculation (SCAN) on a PBEsol-optimized structure of LaZr9O20.

The structure in POSCAR format:
```
LaZr9O20
1.0
6.295 0.000 0.000
2.459 6.976 0.000
2.055 1.733 7.957
La Zr O
1 9 20
direct
0.000 0.000 0.000
0.001 0.497 0.981
0.208 0.803 0.591
0.213 0.289 0.590
0.402 0.086 0.199
0.438 0.601 0.184
0.597 0.892 0.783
0.619 0.412 0.775
0.812 0.686 0.393
0.819 0.205 0.386
0.035 0.198 0.159
0.091 0.594 0.521
0.091 0.706 0.198
0.192 0.121 0.433
0.246 0.979 0.737
0.277 0.551 0.784
0.301 0.406 0.105
0.411 0.910 0.038
0.422 0.778 0.359
0.478 0.345 0.376
0.503 0.199 0.701
0.597 0.714 0.629
0.615 0.192 0.987
0.628 0.579 0.947
0.714 0.988 0.288
0.787 0.531 0.224
0.831 0.379 0.543
0.869 0.952 0.568
0.896 0.791 0.882
0.985 0.333 0.822
```

Properties
Its total DFT energy (no corrections) is -18.4671 eV/atom. The space group is P1, No. 1. The calculation puts the uncorrected formation energy at -3666 meV per atom. For the excess energy over the best structure of this formula in the dataset, the calculation gives 0 meV/atom. The total moment is 1.11 μB per cell.

VASP calculation (SCAN) on a PBEsol-optimized structure of TlTcRh2.

The structure in POSCAR format:
```
TlTcRh2
1.0
0.000 3.134 3.134
3.134 0.000 3.134
3.134 3.134 0.000
Tl Tc Rh
1 1 2
direct
0.000 0.000 0.000
0.250 0.250 0.250
0.500 0.500 0.500
0.750 0.750 0.750
```

Properties
Its total DFT energy (no corrections) is -43.3065 eV/atom. The calculation puts the density of states at the Fermi level at 1.59 states/eV per cell. The value obtained for the formation energy is 1.74 eV per formula unit. The space group is F-43m, No. 216. For the excess energy over the best structure of this formula in the dataset, the calculation gives 107 meV/atom. The total moment is 0.00 μB per cell.